A) An optimized crystal structure of ZrNiOs. Source: Alexandria via LeMat-Bulk, functional GGA-PBE.

Structure (POSCAR):
```
ZrNiOs
1.0
0.000 3.044 3.044
3.044 0.000 3.044
3.044 3.044 0.000
Zr Ni Os
1 1 1
Direct
0.000 0.000 0.000 Zr
0.750 0.750 0.750 Ni
0.250 0.250 0.250 Os
```

DOS(E_F) (states/eV per cell): 3.19
Size of the total moment (Bohr magnetons per cell): 0.0

B) An optimized crystal structure of ZrNiOs. Source: Alexandria via LeMat-Bulk, functional GGA-PBE.

Structure (POSCAR):
```
ZrNiOs
1.0
4.136 0.000 0.000
-2.068 3.582 0.000
0.000 0.000 3.334
Zr Ni Os
1 1 1
Direct
0.000 0.000 0.000 Zr
0.667 0.333 0.500 Ni
0.333 0.667 0.500 Os
```

DOS(E_F) (states/eV per cell): 2.31
Size of the total moment (Bohr magnetons per cell): 0.0

Stability comparison, relative energies in meV/atom: A) 767; B) 0